## a
DFT (GGA+U) results for crystalline Co2SeO2 at its relaxed geometry.

extended XYZ file:
```
10
Lattice="-6.003 3.827 -1.376 -3.169 -5.939 -2.693 -1.208 -0.772 3.125" Properties=species:S:1:pos:R:3 pbc="T T T"
Co -3.314 -3.368 -2.114
Co -6.705 -2.184 -3.133
Co -5.858 1.256 -1.955
Co -2.467 0.072 -0.936
O -3.592 -3.679 -0.407
O -7.208 -2.918 -1.617
O -6.789 0.794 -0.537
O -3.172 0.033 0.673
Se 0.000 0.000 0.000
Se -4.586 -1.056 -2.034
```

Its total magnetic moment is 6.31 μB per formula unit. Its density of states at the Fermi level is 7.463 states/eV/cell.

## b
DFT (GGA+U) results for crystalline Co2SeO2 at its relaxed geometry.

extended XYZ file:
```
5
Lattice="-0.716 3.957 1.257 -3.843 -0.149 -1.719 -1.371 -1.256 3.175" Properties=species:S:1:pos:R:3 pbc="T T T"
Co -1.922 -0.075 -0.859
Co -0.358 1.978 0.628
O 0.000 0.000 0.000
O -0.685 -0.628 1.587
Se -2.965 1.275 1.356
```

Its total magnetic moment is 6.22 μB per formula unit. Its density of states at the Fermi level is 1.967 states/eV/cell.

## c
DFT (GGA+U) results for crystalline Co2SeO2 at its relaxed geometry.

extended XYZ file:
```
5
Lattice="-0.013 -3.480 -0.304 3.175 0.115 -1.453 3.918 -2.135 4.193" Properties=species:S:1:pos:R:3 pbc="T T T"
Co 2.359 -1.833 0.810
Co 4.721 -3.667 1.626
O 2.743 -3.649 1.505
O 4.337 -1.851 0.931
Se 0.000 0.000 0.000
```

Its total magnetic moment is 4.24 μB per formula unit. Its density of states at the Fermi level is 2.176 states/eV/cell.

Quick look at relative energies in kJ/mol of atoms: a 12.9; b 56.5; c 0.0.

## a
DFT (GGA+U) results for crystalline Co2SeO at its relaxed geometry.

extended XYZ file:
```
4
Lattice="1.267 -0.381 4.016 2.026 3.194 1.889 -1.923 2.219 3.043" Properties=species:S:1:pos:R:3 pbc="T T T"
Co 0.343 1.258 2.237
Co 1.028 3.774 6.711
O 0.000 0.000 0.000
Se 0.686 2.516 4.474
```

Its total magnetic moment is 6.00 μB per formula unit. Its density of states at the Fermi level is 4.069 states/eV/cell.

## b
DFT (GGA+U) results for crystalline Co2SeO at its relaxed geometry.

extended XYZ file:
```
8
Lattice="5.138 0.000 0.000 0.000 5.138 0.000 2.569 2.569 5.106" Properties=species:S:1:pos:R:3 pbc="T T T"
Co 3.465 1.284 1.276
Co 1.673 3.853 1.276
Co 3.853 4.242 3.829
Co 6.422 6.034 3.829
O 2.569 2.569 0.000
O 2.569 5.138 2.553
Se 0.000 0.000 0.000
Se 5.138 2.569 2.553
```

Its total magnetic moment is 6.00 μB per formula unit. Its density of states at the Fermi level is 0.000 states/eV/cell.

Quick look at relative energies in kJ/mol of atoms: a 63.2; b 0.0.

## a
DFT (GGA+U) results for crystalline Co3SeO at its relaxed geometry.

extended XYZ file:
```
5
Lattice="3.993 0.000 0.000 0.000 3.993 0.000 0.000 0.000 3.993" Properties=species:S:1:pos:R:3 pbc="T T T"
Co 0.000 1.996 0.000
Co 0.000 0.000 1.996
Co 1.996 0.000 0.000
O 0.000 0.000 0.000
Se 1.996 1.996 1.996
```

Its total magnetic moment is 6.99 μB per formula unit. Its density of states at the Fermi level is 2.989 states/eV/cell.

## b
DFT (GGA+U) results for crystalline Co3SeO at its relaxed geometry.

extended XYZ file:
```
5
Lattice="4.449 0.000 0.000 0.000 4.449 0.000 0.000 0.000 4.449" Properties=species:S:1:pos:R:3 pbc="T T T"
Co 0.000 2.225 0.000
Co 0.000 0.000 2.225
Co 2.225 0.000 0.000
O 2.225 2.225 2.225
Se 0.000 0.000 0.000
```

Its total magnetic moment is 7.00 μB per formula unit. Its density of states at the Fermi level is 8.794 states/eV/cell.

Quick look at relative energies in kJ/mol of atoms: a 0.0; b 77.2.

## a
DFT (GGA+U) results for crystalline Sm3CoO6 at its relaxed geometry.

extended XYZ file:
```
20
Lattice="-0.024 1.653 -5.312 5.075 -5.033 -1.588 -6.264 -3.628 -1.101" Properties=species:S:1:pos:R:3 pbc="T T T"
Sm 0.264 -6.334 -4.732
Sm -2.210 -5.203 -7.281
Sm -1.776 -3.483 -3.551
Sm 0.555 -2.947 -6.308
Sm -1.487 0.065 -5.646
Sm 0.987 -1.067 -3.096
Co -4.150 -3.883 -1.213
Co 2.949 -3.938 -4.175
O -0.624 -5.402 -2.855
O -0.967 -4.535 -5.497
O -3.488 -5.034 -2.616
O 1.910 -4.879 -5.505
O -5.781 -3.424 -1.973
O -3.833 -2.810 -4.811
O 2.624 -4.435 -2.433
O 4.572 -3.882 -5.074
O -3.120 -2.352 -1.783
O 2.279 -2.196 -4.672
O -0.243 -2.632 -1.995
O -0.587 -1.765 -4.637
```

Its total magnetic moment is 4.05 μB per formula unit. Its density of states at the Fermi level is 0.000 states/eV/cell.

## b
DFT (GGA+U) results for crystalline Sm3CoO6 at its relaxed geometry.

extended XYZ file:
```
20
Lattice="5.529 0.000 -0.307 0.000 5.700 0.000 -0.364 0.000 8.918" Properties=species:S:1:pos:R:3 pbc="T T T"
Sm 2.681 5.392 6.447
Sm 2.764 2.850 -0.153
Sm 2.483 0.308 2.164
Sm 0.099 3.158 2.141
Sm -0.182 0.000 4.459
Sm 5.065 2.542 6.470
Co 2.582 2.850 4.306
Co 0.000 0.000 0.000
O 3.748 1.120 7.967
O 3.573 1.316 4.881
O 3.479 2.426 1.999
O 1.685 3.274 6.612
O 1.592 4.384 3.730
O 1.417 4.580 0.644
O 1.165 1.730 3.662
O 0.990 1.534 0.576
O 0.533 0.424 6.612
O 4.632 5.276 1.999
O 4.174 4.166 8.035
O 3.999 3.970 4.949
```

Its total magnetic moment is 2.02 μB per formula unit.

Quick look at relative energies in kJ/mol of atoms: a 0.0; b 12.1.

## a
DFT (GGA+U) results for crystalline SrSmCoO4 at its relaxed geometry.

extended XYZ file:
```
14
Lattice="-6.184 2.807 0.276 2.237 -6.418 -0.083 0.247 0.017 5.374" Properties=species:S:1:pos:R:3 pbc="T T T"
Sr -5.245 1.851 1.582
Sr 1.546 -5.445 3.985
Sm -0.835 -2.836 4.087
Sm -2.864 -0.758 1.481
Co 0.199 -4.113 1.350
Co -3.898 0.519 4.217
O -2.968 1.412 2.825
O 1.119 -3.209 -0.041
O -3.092 1.404 0.138
O 1.242 -3.200 2.646
O -2.386 -1.137 4.153
O 1.552 -5.595 1.293
O -1.314 -2.456 1.415
O -5.251 2.002 4.274
```

Its total magnetic moment is 2.00 μB per formula unit. Its density of states at the Fermi level is 2.305 states/eV/cell.

## b
DFT (GGA+U) results for crystalline SrSmCoO4 at its relaxed geometry.

extended XYZ file:
```
7
Lattice="6.781 0.002 0.000 4.646 4.939 0.000 -5.714 -2.470 2.689" Properties=species:S:1:pos:R:3 pbc="T T T"
Sr 7.357 3.181 0.000
Sm 4.123 1.783 0.000
Co 0.023 0.010 0.000
O 9.566 4.136 0.000
O 2.014 0.871 0.000
O 6.133 1.186 1.345
O 5.066 3.655 1.345
```

Its total magnetic moment is 2.00 μB per formula unit. Its density of states at the Fermi level is 0.627 states/eV/cell.

Quick look at relative energies in kJ/mol of atoms: a 2.1; b 0.0.

## a
DFT (GGA+U) results for crystalline CoSn3O at its relaxed geometry.

extended XYZ file:
```
5
Lattice="4.660 0.000 0.000 0.000 4.660 0.000 0.000 0.000 4.660" Properties=species:S:1:pos:R:3 pbc="T T T"
Co 2.330 2.330 2.330
Sn 0.000 2.330 0.000
Sn 0.000 0.000 2.330
Sn 2.330 0.000 0.000
O 0.000 0.000 0.000
```

Its total magnetic moment is 0.00 μB per formula unit. Its density of states at the Fermi level is 6.081 states/eV/cell.

## b
DFT (GGA+U) results for crystalline CoSn3O at its relaxed geometry.

extended XYZ file:
```
5
Lattice="4.773 0.000 0.000 0.000 4.773 0.000 0.000 0.000 4.773" Properties=species:S:1:pos:R:3 pbc="T T T"
Co 0.000 0.000 0.000
Sn 0.000 2.387 0.000
Sn 0.000 0.000 2.387
Sn 2.387 0.000 0.000
O 2.387 2.387 2.387
```

Its total magnetic moment is 0.66 μB per formula unit. Its density of states at the Fermi level is 1.981 states/eV/cell.

Quick look at relative energies in kJ/mol of atoms: a 11.7; b 0.0.

## a
DFT (GGA+U) results for crystalline Sr2CoO4 at its relaxed geometry.

extended XYZ file:
```
28
Lattice="-7.736 -1.773 -3.684 4.305 -2.880 -7.052 -0.554 -5.449 -0.189" Properties=species:S:1:pos:R:3 pbc="T T T"
Sr -3.004 -5.068 -2.365
Sr -3.454 -2.166 -4.881
Sr -4.434 -4.715 -7.593
Sr 2.324 -5.447 -6.670
Sr 0.024 -2.486 -5.854
Sr -0.980 -5.033 -8.559
Sr -6.308 -4.654 -4.255
Sr 0.450 -5.386 -3.331
Co -1.992 -5.051 -5.462
Co -2.991 -7.575 -8.203
Co 0.000 0.000 0.000
Co -0.993 -2.526 -2.722
O -1.068 -7.770 -8.720
O -5.906 -1.941 -4.195
O 0.922 -2.684 -3.278
O -0.060 -5.228 -6.003
O 2.476 -2.711 -6.540
O -2.917 -2.331 -2.204
O -3.925 -4.873 -4.922
O -4.906 -7.417 -7.646
O -0.764 -4.023 -1.410
O -1.786 -6.381 -4.290
O -2.198 -3.720 -6.635
O -3.220 -6.078 -9.514
O -0.536 -1.313 -1.485
O -1.462 -3.656 -4.024
O -2.523 -6.445 -6.901
O -3.448 -8.788 -9.439
```

Its total magnetic moment is 2.96 μB per formula unit.

## b
DFT (GGA+U) results for crystalline Sr2CoO4 at its relaxed geometry.

extended XYZ file:
```
14
Lattice="-3.810 -0.114 4.198 4.676 -2.721 4.170 -0.024 6.829 0.163" Properties=species:S:1:pos:R:3 pbc="T T T"
Sr 1.353 1.609 7.015
Sr 1.869 4.487 3.732
Sr -0.511 2.385 1.515
Sr -1.027 -0.493 4.798
Co 1.187 -1.523 6.780
Co -0.345 5.517 1.751
O 0.536 3.771 6.332
O 3.031 2.629 4.736
O 0.306 0.223 2.198
O -2.189 1.365 3.794
O -0.238 -0.554 7.391
O 1.080 4.548 1.140
O 1.631 -0.498 5.332
O -0.789 4.492 3.198
```

Its total magnetic moment is 5.00 μB per formula unit.

Quick look at relative energies in kJ/mol of atoms: a 0.0; b 9.4.

## a
DFT (GGA+U) results for crystalline Sr2UCoO6 at its relaxed geometry.

extended XYZ file:
```
10
Lattice="5.874 0.000 -0.347 0.000 5.811 0.000 -2.758 -2.906 4.312" Properties=species:S:1:pos:R:3 pbc="T T T"
Sr 0.009 0.000 2.107
Sr 3.108 2.906 1.858
U 0.000 2.906 0.000
Co 2.937 0.000 -0.173
O 0.578 2.906 1.997
O -1.310 -1.444 3.847
O 4.427 1.461 0.118
O -1.310 1.444 3.847
O 4.427 4.350 0.118
O 2.539 0.000 1.967
```

Its total magnetic moment is 2.96 μB per formula unit.

## b
DFT (GGA+U) results for crystalline Sr2UCoO6 at its relaxed geometry.

extended XYZ file:
```
20
Lattice="-0.813 -5.776 0.704 5.204 -0.415 2.601 1.587 0.982 9.894" Properties=species:S:1:pos:R:3 pbc="T T T"
Sr 4.596 -2.667 9.744
Sr 3.456 -5.623 5.097
Sr 1.382 -2.542 3.455
Sr 2.522 0.413 8.102
U -0.406 -2.888 0.352
U 0.794 0.491 4.947
Co 2.989 -2.605 6.599
Co 2.602 -0.208 1.301
O 1.458 -3.802 5.690
O 3.779 -1.527 2.517
O 4.520 -1.407 7.509
O 2.200 -3.682 10.682
O 3.733 -4.312 7.644
O 2.975 -0.862 10.557
O 2.245 -0.897 5.555
O 3.004 -4.347 2.642
O 4.287 -3.107 4.970
O 1.271 0.060 2.958
O 4.707 -5.269 10.240
O 1.692 -2.102 8.229
```

Its total magnetic moment is 2.99 μB per formula unit.

Quick look at relative energies in kJ/mol of atoms: a 0.5; b 0.0.